Entry 1:
LaMn2Ru | GGA-PBE | relaxed

a b c (Å): 6.3180 6.3180 6.3180
angles (deg): 90.00 90.00 90.00
Positions (direct):
La 0.0000 0.0000 0.0000
La 0.0000 0.5000 0.5000
La 0.5000 0.0000 0.5000
La 0.5000 0.5000 0.0000
Mn 0.2500 0.2500 0.2500
Mn 0.2500 0.2500 0.7500
Mn 0.2500 0.7500 0.2500
Mn 0.2500 0.7500 0.7500
Mn 0.7500 0.2500 0.2500
Mn 0.7500 0.2500 0.7500
Mn 0.7500 0.7500 0.2500
Mn 0.7500 0.7500 0.7500
Ru 0.0000 0.0000 0.5000
Ru 0.0000 0.5000 0.0000
Ru 0.5000 0.0000 0.0000
Ru 0.5000 0.5000 0.5000

energy relative to the elements = 15.52 kcal/mol of atoms
total moment = 0.001 μB per cell

=====

Entry 2:
Zr2MnPb | GGA-PBE | relaxed

a b c (Å): 3.2516 3.2516 29.4098
angles (deg): 90.00 90.00 120.00
Positions (direct):
Zr 0.0000 0.0000 0.0000
Zr 0.0000 0.0000 0.2466
Zr 0.3333 0.6667 0.6667
Zr 0.3333 0.6667 0.9133
Zr 0.6667 0.3333 0.3333
Zr 0.6667 0.3333 0.5799
Mn 0.0000 0.0000 0.7404
Mn 0.3333 0.6667 0.4071
Mn 0.6667 0.3333 0.0738
Pb 0.0000 0.0000 0.4884
Pb 0.3333 0.6667 0.1551
Pb 0.6667 0.3333 0.8217

energy relative to the elements = 4.62 kcal/mol of atoms
total moment = 8.813 μB per cell

=====

Entry 3:
Pm2Ni4Sn3Rh | GGA-PBE | relaxed

a b c (Å): 4.1889 4.1889 10.8839
angles (deg): 90.00 90.00 90.00
Positions (direct):
Pm 0.0000 0.5000 0.2387
Pm 0.5000 0.0000 0.7613
Ni 0.0000 0.0000 0.5000
Ni 0.0000 0.5000 0.8621
Ni 0.5000 0.0000 0.1379
Ni 0.5000 0.5000 0.5000
Sn 0.0000 0.0000 0.0000
Sn 0.0000 0.5000 0.6305
Sn 0.5000 0.0000 0.3695
Rh 0.5000 0.5000 0.0000

energy relative to the elements = -10.63 kcal/mol of atoms
total moment = 0.000 μB per cell

=====

Entry 4:
Y2HoTe | GGA-PBE | relaxed

a b c (Å): 3.8725 3.8725 7.8465
angles (deg): 90.00 90.00 90.00
Positions (direct):
Y 0.0000 0.0000 0.2260
Y 0.0000 0.0000 0.7740
Ho 0.5000 0.5000 0.5000
Te 0.5000 0.5000 0.0000

ΔE_f (raw) = -0.566 eV per atom
total moment = 0.001 μB per cell

=====

Entry 5:
KU2F11 | GGA-PBE | relaxed

a b c (Å): 9.1692 9.1692 9.1692
angles (deg): 118.85 111.22 98.95
Positions (direct):
K 0.2500 0.2500 0.0000
K 0.7500 0.7500 0.0000
U 0.1677 0.6578 0.8255
U 0.3323 0.1578 0.4902
U 0.6677 0.8422 0.5098
U 0.8323 0.3422 0.1745
F 0.0000 0.5000 0.5000
F 0.0597 0.3582 0.1748
F 0.0939 0.9448 0.2915
F 0.1533 0.4448 0.8509
F 0.1834 0.8849 0.8252
F 0.2081 0.3314 0.5394
F 0.2919 0.8314 0.1233
F 0.3166 0.1418 0.7015
F 0.3467 0.1976 0.2915
F 0.4061 0.6976 0.8509
F 0.4403 0.6151 0.2985
F 0.5000 0.0000 0.5000
F 0.5597 0.3849 0.7015
F 0.5939 0.3024 0.1491
F 0.6533 0.8024 0.7085
F 0.6834 0.8582 0.2985
F 0.7081 0.1686 0.8767
F 0.7919 0.6686 0.4606
F 0.8166 0.1151 0.1748
F 0.8467 0.5552 0.1491
F 0.9061 0.0552 0.7085
F 0.9403 0.6418 0.8252

ΔE_f (raw) = -3.492 eV per atom
total moment = 4.000 μB per cell

=====

Entry 6:
ZrIn2Ir | GGA-PBE | relaxed

a b c (Å): 7.8673 7.8673 5.6500
angles (deg): 90.00 90.00 90.00
Positions (direct):
Zr 0.0000 0.0000 0.0000
Zr 0.0000 0.5000 0.2500
Zr 0.5000 0.0000 0.7500
Zr 0.5000 0.5000 0.5000
In 0.2135 0.2500 0.6250
In 0.2500 0.7135 0.8750
In 0.2500 0.7865 0.3750
In 0.2865 0.2500 0.1250
In 0.7135 0.7500 0.1250
In 0.7500 0.2135 0.3750
In 0.7500 0.2865 0.8750
In 0.7865 0.7500 0.6250
Ir 0.0000 0.0000 0.5000
Ir 0.0000 0.5000 0.7500
Ir 0.5000 0.0000 0.2500
Ir 0.5000 0.5000 0.0000

energy relative to the elements = 0.49 kcal/mol of atoms
total moment = 0.000 μB per cell

=====

Entry 7:
Hf4SeS | GGA-PBE | relaxed

a b c (Å): 7.0025 7.0025 7.0025
angles (deg): 105.13 105.13 118.56
Positions (direct):
Hf 0.1781 0.4749 0.7033
Hf 0.2249 0.0216 0.7967
Hf 0.2249 0.4281 0.2033
Hf 0.2839 0.0000 0.2839
Hf 0.7161 0.0000 0.7161
Hf 0.7500 0.5339 0.7839
Hf 0.7500 0.9661 0.2161
Hf 0.7716 0.4749 0.2967
Se 0.2457 0.7457 0.5000
Se 0.4957 0.4957 0.0000
S 0.7300 0.2300 0.5000
S 0.9800 0.9800 0.0000

ΔE_f (raw) = -0.485 eV per atom
total moment = 0.000 μB per cell

=====

Entry 8:
Y3Er2Se6 | GGA-PBE | relaxed

a b c (Å): 7.0014 7.0014 6.9943
angles (deg): 99.65 99.65 119.79
Positions (direct):
Y 0.0000 0.0000 0.0000
Y 0.3350 0.6650 0.0000
Y 0.6650 0.3350 0.0000
Er 0.1652 0.8348 0.5000
Er 0.8348 0.1652 0.5000
Se 0.0891 0.4190 0.2563
Se 0.2523 0.2523 0.7405
Se 0.4190 0.0891 0.2563
Se 0.5810 0.9109 0.7437
Se 0.7477 0.7477 0.2595
Se 0.9109 0.5810 0.7437

ΔE_f (raw) = -1.858 eV per atom
total moment = 0.000 μB per cell

=====

Entry 9:
VBSe2N | GGA-PBE | relaxed

a b c (Å): 4.9284 4.9284 3.6018
angles (deg): 90.00 90.00 90.00
Positions (direct):
V 0.0000 0.0000 0.0000
B 0.5000 0.5000 0.5000
Se 0.0000 0.5000 0.0000
Se 0.5000 0.0000 0.0000
N 0.0000 0.0000 0.5000

ΔE_f (raw) = 0.854 eV per atom
total moment = 0.001 μB per cell

=====

Entry 10:
Al3SnF | GGA-PBE | relaxed

a b c (Å): 4.5864 4.5864 4.5864
angles (deg): 90.00 90.00 90.00
Positions (direct):
Al 0.0000 0.0000 0.5000
Al 0.0000 0.5000 0.0000
Al 0.5000 0.0000 0.0000
Sn 0.5000 0.5000 0.5000
F 0.0000 0.0000 0.0000

ΔE_f (raw) = -0.247 eV per atom
total moment = 0.000 μB per cell

=====

Entry 11:
Ca2AcGe2 | GGA-PBE | relaxed

a b c (Å): 14.3209 14.3209 4.4652
angles (deg): 90.00 90.00 161.30
Positions (direct):
Ca 0.0511 0.9489 0.7500
Ca 0.2487 0.7513 0.2500
Ca 0.7513 0.2487 0.7500
Ca 0.9489 0.0511 0.2500
Ac 0.3591 0.6409 0.7500
Ac 0.6409 0.3591 0.2500
Ge 0.1724 0.8276 0.7500
Ge 0.4715 0.5285 0.7500
Ge 0.5285 0.4715 0.2500
Ge 0.8276 0.1724 0.2500

energy relative to the elements = -12.64 kcal/mol of atoms
total moment = 1.283 μB per cell

=====

Entry 12:
LaTh2Pa | GGA-PBE | relaxed

a b c (Å): 3.4348 3.4348 36.8577
angles (deg): 90.00 90.00 120.00
Positions (direct):
La 0.0000 0.0000 0.0000
La 0.3333 0.6667 0.6667
La 0.6667 0.3333 0.3333
Th 0.0000 0.0000 0.0898
Th 0.0000 0.0000 0.9102
Th 0.3333 0.6667 0.5768
Th 0.3333 0.6667 0.7565
Th 0.6667 0.3333 0.2435
Th 0.6667 0.3333 0.4232
Pa 0.0000 0.0000 0.5000
Pa 0.3333 0.6667 0.1667
Pa 0.6667 0.3333 0.8333

energy relative to the elements = 5.82 kcal/mol of atoms
total moment = 0.001 μB per cell

=====

Entry 13:
GaSiH2 | GGA-PBE | relaxed

a b c (Å): 4.2700 5.6633 5.9476
angles (deg): 92.93 110.44 108.71
Positions (direct):
Ga 0.0000 0.0000 0.0000
Ga 0.2156 0.1219 0.4526
Si 0.1282 0.6817 0.7840
Si 0.8712 0.2374 0.6677
H 0.1263 0.7722 0.5399
H 0.5376 0.7399 0.9098
H 0.7042 0.4525 0.0962
H 0.7201 0.4105 0.2173

E_tot = -3.6417 eV per atom
total moment = 0.000 μB per cell

=====

Entry 14:
CuRu2W | GGA-PBE | relaxed

a b c (Å): 3.9476 3.9476 3.5965
angles (deg): 90.00 90.00 90.00
Positions (direct):
Cu 0.0000 0.0000 0.0000
Ru 0.0000 0.5000 0.5000
Ru 0.5000 0.0000 0.5000
W 0.5000 0.5000 0.0000

energy relative to the elements = 3.05 kcal/mol of atoms
total moment = 0.002 μB per cell

=====

Entry 15:
Ho6TmTl6 | GGA-PBE | relaxed

a b c (Å): 6.4072 6.4072 10.5065
angles (deg): 90.00 90.00 120.00
Positions (direct):
Ho 0.0000 0.0000 0.1638
Ho 0.0000 0.0000 0.8362
Ho 0.3333 0.6667 0.0000
Ho 0.3333 0.6667 0.5000
Ho 0.6667 0.3333 0.0000
Ho 0.6667 0.3333 0.5000
Tm 0.0000 0.0000 0.5000
Tl 0.0000 0.5000 0.2536
Tl 0.0000 0.5000 0.7464
Tl 0.5000 0.0000 0.2536
Tl 0.5000 0.0000 0.7464
Tl 0.5000 0.5000 0.2536
Tl 0.5000 0.5000 0.7464

energy relative to the elements = -3.56 kcal/mol of atoms
total moment = 0.771 μB per cell

=====

Entry 16:
HfTi2Hg | GGA-PBE | relaxed

a b c (Å): 3.0839 3.0839 28.7731
angles (deg): 90.00 90.00 120.00
Positions (direct):
Hf 0.0000 0.0000 0.0000
Hf 0.3333 0.6667 0.6667
Hf 0.6667 0.3333 0.3333
Ti 0.0000 0.0000 0.4158
Ti 0.0000 0.0000 0.5845
Ti 0.3333 0.6667 0.0824
Ti 0.3333 0.6667 0.2511
Ti 0.6667 0.3333 0.7491
Ti 0.6667 0.3333 0.9178
Hg 0.0000 0.0000 0.1668
Hg 0.3333 0.6667 0.8335
Hg 0.6667 0.3333 0.5002

energy relative to the elements = 1.48 kcal/mol of atoms
total moment = 0.002 μB per cell

=====

Entry 17:
Er4HgSe5 | GGA-PBE | relaxed

a b c (Å): 9.5836 9.5836 8.9203
angles (deg): 106.93 106.93 24.15
Positions (direct):
Er 0.0167 0.0167 0.2317
Er 0.3280 0.3280 0.4302
Er 0.6720 0.6720 0.5698
Er 0.9833 0.9833 0.7683
Hg 0.5000 0.5000 0.5000
Se 0.1281 0.1281 0.7440
Se 0.1728 0.1728 0.3406
Se 0.5000 0.5000 0.0000
Se 0.8272 0.8272 0.6594
Se 0.8719 0.8719 0.2560

ΔE_f (raw) = -1.472 eV per atom
total moment = 0.000 μB per cell

=====

Entry 18:
KLiFeBr5 | GGA-PBE | relaxed

a b c (Å): 7.9559 7.9559 9.2679
angles (deg): 102.26 102.26 103.25
Positions (direct):
K 0.1720 0.8280 0.7500
K 0.8280 0.1720 0.2500
Li 0.5000 0.5000 0.0000
Li 0.5000 0.5000 0.5000
Fe 0.1717 0.8283 0.2500
Fe 0.8283 0.1717 0.7500
Br 0.1013 0.2276 0.9380
Br 0.1589 0.5958 0.3732
Br 0.2276 0.1013 0.4380
Br 0.4042 0.8411 0.1268
Br 0.4323 0.5677 0.7500
Br 0.5677 0.4323 0.2500
Br 0.5958 0.1589 0.8732
Br 0.7724 0.8987 0.5620
Br 0.8411 0.4042 0.6268
Br 0.8987 0.7724 0.0620

ΔE_f (raw) = -1.055 eV per atom
total moment = 9.935 μB per cell

=====

Entry 19:
SiSbPt | GGA-PBE | relaxed

a b c (Å): 6.7532 5.2988 7.3166
angles (deg): 90.00 92.11 90.00
Positions (direct):
Si 0.0857 0.1768 0.1392
Si 0.0857 0.3232 0.6392
Si 0.9143 0.6768 0.3608
Si 0.9143 0.8232 0.8608
Sb 0.4233 0.7125 0.0992
Sb 0.4233 0.7875 0.5992
Sb 0.5767 0.2125 0.4008
Sb 0.5767 0.2875 0.9008
Pt 0.2224 0.0379 0.8573
Pt 0.2224 0.4621 0.3573
Pt 0.7776 0.5379 0.6427
Pt 0.7776 0.9621 0.1427

ΔE_f (raw) = -0.350 eV per atom
total moment = 0.000 μB per cell

=====

Entry 20:
CaZnGe2Pt | GGA-PBE | relaxed

a b c (Å): 4.2088 4.2088 10.7772
angles (deg): 90.00 90.00 90.00
Positions (direct):
Ca 0.0000 0.0000 0.0000
Ca 0.5000 0.5000 0.5000
Zn 0.0000 0.5000 0.2500
Zn 0.5000 0.0000 0.7500
Ge 0.0000 0.0000 0.3843
Ge 0.0000 0.0000 0.6157
Ge 0.5000 0.5000 0.1157
Ge 0.5000 0.5000 0.8843
Pt 0.0000 0.5000 0.7500
Pt 0.5000 0.0000 0.2500

energy relative to the elements = -12.98 kcal/mol of atoms
total moment = 0.000 μB per cell

=====

Entry 21:
Tb8TlNi2 | GGA-PBE | relaxed

a b c (Å): 7.9707 7.9707 5.3825
angles (deg): 97.68 97.68 114.75
Positions (direct):
Tb 0.0772 0.3333 0.5733
Tb 0.2479 0.7521 0.0000
Tb 0.3333 0.0772 0.5733
Tb 0.3936 0.3936 0.1960
Tb 0.6064 0.6064 0.8040
Tb 0.6667 0.9228 0.4267
Tb 0.7521 0.2479 0.0000
Tb 0.9228 0.6667 0.4267
Tl 0.0000 0.0000 0.0000
Ni 0.3029 0.6971 0.5000
Ni 0.6971 0.3029 0.5000

energy relative to the elements = -3.34 kcal/mol of atoms
total moment = 0.001 μB per cell

=====

Entry 22:
Dy5Tm4Th2 | GGA-PBE | relaxed

a b c (Å): 3.5131 8.7782 11.1581
angles (deg): 88.96 89.33 89.80
Positions (direct):
Dy 0.0000 0.0000 0.0000
Dy 0.2422 0.1819 0.4786
Dy 0.2669 0.3583 0.9126
Dy 0.7331 0.6417 0.0874
Dy 0.7578 0.8181 0.5214
Tm 0.2483 0.7322 0.7960
Tm 0.2920 0.9168 0.2621
Tm 0.7080 0.0832 0.7379
Tm 0.7517 0.2678 0.2040
Th 0.2529 0.5439 0.3613
Th 0.7471 0.4561 0.6387

energy relative to the elements = 1.27 kcal/mol of atoms
total moment = 0.000 μB per cell

=====

Entry 23:
Y4HC2O | GGA-PBE | relaxed

a b c (Å): 6.0708 3.5737 6.1895
angles (deg): 90.00 109.19 90.00
Positions (direct):
Y 0.2337 0.0000 0.2335
Y 0.2363 0.5000 0.7506
Y 0.7637 0.5000 0.2494
Y 0.7663 0.0000 0.7665
H 0.5000 0.5000 0.5000
C 0.0000 0.0000 0.5000
C 0.0000 0.5000 0.0000
O 0.5000 0.0000 0.0000

E_tot = -7.6530 eV per atom
total moment = 0.000 μB per cell

=====

Entry 24:
Ba2RuPb | GGA-PBE | relaxed

a b c (Å): 3.6442 3.6442 9.7963
angles (deg): 90.00 90.00 90.00
Positions (direct):
Ba 0.0000 0.0000 0.2025
Ba 0.0000 0.0000 0.7975
Ru 0.5000 0.5000 0.0000
Pb 0.5000 0.5000 0.5000

energy relative to the elements = 5.55 kcal/mol of atoms
total moment = 0.387 μB per cell